[1]
This record from Alexandria via LeMat-Bulk describes a relaxed Rb2TlPb6 crystal. The functional is PBE.

POSCAR file:
```
Rb2TlPb6
1.0
6.497 -3.635 0.000
6.497 3.635 0.000
-2.250 0.000 7.256
Rb Tl Pb
2 1 6
direct
0.149 0.149 0.350
0.851 0.851 0.650
0.500 0.500 0.500
0.082 0.639 0.163
0.361 0.918 0.837
0.380 0.380 0.846
0.620 0.620 0.154
0.639 0.082 0.163
0.918 0.361 0.837
```

Computed properties:
E = -3.03 eV/atom
V = 343 Å³ per cell

---

[2]
This record from Alexandria via LeMat-Bulk describes a relaxed RbTl2Pb2 crystal. The functional is PBE.

POSCAR file:
```
RbTl2Pb2
1.0
-2.469 2.469 7.672
2.469 -2.469 7.672
2.469 2.469 -7.672
Rb Tl Pb
1 2 2
direct
0.000 0.000 0.000
0.391 0.391 0.000
0.609 0.609 0.000
0.250 0.750 0.500
0.750 0.250 0.500
```

Computed properties:
energy above the lowest structure with this stoichiometry = 0 meV/atom
V = 187 Å³ per cell

---

[3]
This record from Alexandria via LeMat-Bulk describes a relaxed RbTl3Pb3 crystal. The functional is PBE.

POSCAR file:
```
RbTl3Pb3
1.0
9.701 0.000 0.000
-4.850 8.401 0.000
0.000 0.000 6.104
Rb Tl Pb
2 6 6
direct
0.333 0.667 0.250
0.667 0.333 0.750
0.100 0.433 0.750
0.333 0.900 0.750
0.433 0.333 0.250
0.567 0.667 0.750
0.667 0.100 0.250
0.900 0.567 0.250
0.048 0.220 0.250
0.171 0.952 0.250
0.220 0.171 0.750
0.780 0.829 0.250
0.829 0.048 0.750
0.952 0.780 0.750
```

Computed properties:
energy above the lowest structure with this stoichiometry = 0 meV/atom
V = 497 Å³ per cell

---

[4]
This record from Alexandria via LeMat-Bulk describes a relaxed Rb2Tl4Pb3 crystal. The functional is PBE.

POSCAR file:
```
Rb2Tl4Pb3
1.0
0.000 5.922 8.333
3.312 0.000 8.333
3.312 5.922 0.000
Rb Tl Pb
2 4 3
direct
0.131 0.131 0.869
0.869 0.869 0.131
0.164 0.493 0.507
0.493 0.164 0.836
0.507 0.836 0.164
0.836 0.507 0.493
0.000 0.000 0.500
0.500 0.500 0.000
0.500 0.500 0.500
```

Computed properties:
E = -2.60 eV/atom
V = 327 Å³ per cell

---

[5]
This record from Alexandria via LeMat-Bulk describes a relaxed RbTl11Pb crystal. The functional is PBE.

POSCAR file:
```
RbTl11Pb
1.0
3.299 -8.091 0.000
3.299 8.091 0.000
-3.274 0.000 8.151
Rb Tl Pb
1 11 1
direct
0.000 0.000 0.000
0.000 0.000 0.500
0.000 0.500 0.000
0.008 0.367 0.359
0.283 0.496 0.785
0.367 0.008 0.359
0.496 0.283 0.785
0.500 0.000 0.000
0.504 0.717 0.215
0.633 0.992 0.641
0.717 0.504 0.215
0.992 0.633 0.641
0.500 0.500 0.500
```

Computed properties:
E = -2.37 eV/atom
V = 435 Å³ per cell

---

[6]
This record from Alexandria via LeMat-Bulk describes a relaxed RbTl3Pb3 crystal. The functional is PBE.

POSCAR file:
```
RbTl3Pb3
1.0
8.570 0.000 0.000
0.000 8.570 0.000
0.000 0.000 8.570
Rb Tl Pb
2 6 6
direct
0.000 0.000 0.000
0.500 0.500 0.500
0.000 0.250 0.500
0.000 0.750 0.500
0.250 0.500 0.000
0.500 0.000 0.250
0.500 0.000 0.750
0.750 0.500 0.000
0.000 0.500 0.250
0.000 0.500 0.750
0.250 0.000 0.500
0.500 0.250 0.000
0.500 0.750 0.000
0.750 0.000 0.500
```

Computed properties:
energy above the lowest structure with this stoichiometry = 178 meV/atom
V = 629 Å³ per cell

---

[7]
This record from Alexandria via LeMat-Bulk describes a relaxed Rb2Tl16Pb crystal. The functional is PBE.

POSCAR file:
```
Rb2Tl16Pb
1.0
5.747 3.318 5.683
-5.747 3.318 5.683
0.000 -6.636 5.683
Rb Tl Pb
2 16 1
direct
0.000 0.000 0.000
0.324 0.324 0.324
0.016 0.016 0.517
0.016 0.517 0.016
0.164 0.661 0.661
0.305 0.305 0.818
0.305 0.818 0.305
0.370 0.663 0.955
0.370 0.955 0.663
0.517 0.016 0.016
0.562 0.562 0.562
0.661 0.164 0.661
0.661 0.661 0.164
0.663 0.370 0.955
0.663 0.955 0.370
0.818 0.305 0.305
0.955 0.370 0.663
0.955 0.663 0.370
0.758 0.758 0.758
```

Computed properties:
E = -2.32 eV/atom
V = 650 Å³ per cell

---

[8]
This record from Alexandria via LeMat-Bulk describes a relaxed RbTl2Pb8 crystal. The functional is PBE.

POSCAR file:
```
RbTl2Pb8
1.0
5.773 0.000 0.000
0.000 5.773 0.000
0.000 0.000 12.459
Rb Tl Pb
1 2 8
direct
0.000 0.000 0.000
0.000 0.000 0.350
0.000 0.000 0.650
0.000 0.500 0.218
0.000 0.500 0.500
0.000 0.500 0.782
0.500 0.000 0.218
0.500 0.000 0.500
0.500 0.000 0.782
0.500 0.500 0.347
0.500 0.500 0.653
```

Computed properties:
E = -3.14 eV/atom
V = 415 Å³ per cell